Version P
La2GaHg GGA-PBE optimized geometry; N(E_F) = 4.36 states/eV/f.u.
1.0
0.000 3.856 3.856
3.856 0.000 3.856
3.856 3.856 0.000
La Ga Hg
2 1 1
Direct
0.750 0.750 0.750
0.250 0.250 0.250
0.000 0.000 0.000
0.500 0.500 0.500

Version Q
La2GaHg GGA-PBE optimized geometry; N(E_F) = 5.12 states/eV/f.u.
1.0
3.909 0.000 0.000
1.955 3.385 0.000
1.955 1.128 9.363
Hg La Ga
1 2 1
Direct
0.500 0.500 0.500
0.255 0.255 0.234
0.745 0.745 0.766
0.000 0.000 0.000

Version R
La2GaHg GGA-PBE optimized geometry; N(E_F) = 7.25 states/eV/f.u.
1.0
8.297 0.000 0.000
0.000 8.297 0.000
4.149 4.149 4.037
Ga Hg La
2 2 4
Direct
0.250 0.750 0.500
0.500 0.500 0.000
0.750 0.250 0.500
0.000 0.000 0.000
0.375 0.390 0.750
0.875 0.860 0.750
0.140 0.625 0.250
0.610 0.125 0.250

Version S
La2GaHg GGA-PBE optimized geometry; N(E_F) = 3.02 states/eV/f.u.
1.0
-0.262 -3.748 -0.521
1.335 -0.580 3.503
-7.341 0.122 2.818
La Hg Ga
2 1 1
Direct
0.000 0.000 0.766
0.000 0.000 0.234
0.500 0.500 0.500
0.500 0.500 0.000

Computed energies relative to the best structure, in eV/atom: version P 0.027; version Q 0.191; version R 0.372; version S 0.000